DFT (GGA-PBE) results for NaTl5Rh after structural relaxation.

Unit cell a=4.793 b=4.793 c=8.093 alpha=90.00 beta=90.00 gamma=90.00
Element x y z (fractional)
Na 0.000 0.000 0.000
Tl 0.000 0.500 0.303
Tl 0.000 0.500 0.697
Tl 0.500 0.000 0.697
Rh 0.000 0.000 0.500
Tl 0.500 0.000 0.303
Tl 0.500 0.500 0.000

energy of formation from the pure elements = -0.1 eV per formula unit
uncorrected energy = -2.94 eV/atom